This record from the Alexandria database describes a relaxed CsNi2Au crystal. The functional is PBE-GGA.

abc: 4.7701 4.7701 4.7701
angles: 60.00 60.00 60.00
With the nearest neighbours (Å) after each atom.
Element x y z (fractional)
Au 0.5000 0.5000 0.5000  8 Ni 2.92
Cs 0.0000 0.0000 0.0000  8 Ni 2.92
Ni 0.7500 0.7500 0.7500  4 Au 2.92, 4 Cs 2.92
Ni 0.2500 0.2500 0.2500  4 Au 2.92, 4 Cs 2.92

Results
Energy of formation from the pure elements = 0.972 eV per atom
DOS at the Fermi energy = 2.1 states/eV/f.u.
Total energy = -2.951 eV/atom

***

This record from the Alexandria database describes a relaxed Pm2CdSi crystal. The functional is PBE-GGA.

abc: 3.9269 5.0883 5.0883
angles: 90.00 90.00 90.00
With the nearest neighbours (Å) after each atom.
Element x y z (fractional)
Pm 0.0000 0.5000 0.0000  4 Si 3.21, 4 Cd 3.21, 4 Pm 3.60
Pm 0.0000 0.0000 0.5000  4 Cd 3.21, 4 Si 3.21, 4 Pm 3.60
Cd 0.5000 0.5000 0.5000  8 Pm 3.21, 4 Si 3.60
Si 0.5000 0.0000 0.0000  8 Pm 3.21, 4 Cd 3.60

Results
E_form (uncorrected) = -0.406 eV/atom
DOS at the Fermi energy = 2.6 states/eV/f.u.
Total energy = -4.366 eV/atom
Energy above the most stable polymorph in this dataset = 0 meV/atom